A plane-wave DFT calculation with GGA-PBE was carried out for a relaxed structure of La2Tb5Nd.

Cell lengths 7.2306, 14.4698, 5.1486 Å; angles 90.00, 90.00, 90.00 degrees
With the nearest neighbours (Å) after each atom.
Atoms (fractional coordinates):
La (0.2468, 0.1260, 0.0000)  10 Tb 3.60-3.63, 2 Nd 3.65
La (0.2532, 0.6260, 0.0000)  10 Tb 3.60-3.63, 2 Nd 3.65
La (0.7468, 0.3740, 0.0000)  10 Tb 3.60-3.63, 2 Nd 3.65
La (0.7532, 0.8740, 0.0000)  10 Tb 3.60-3.63, 2 Nd 3.65
Tb (0.0000, 0.0000, 0.5000)  6 Tb 3.61-3.64, 2 Nd 3.62, 4 La 3.62
Tb (0.0038, 0.7508, 0.5000)  7 Tb 3.61-3.64, 4 La 3.62, 1 Nd 3.63
Tb (0.2469, 0.3751, 0.0000)  4 La 3.60-3.63, 2 Nd 3.62, 6 Tb 3.62-3.64
Tb (0.2531, 0.8751, 0.0000)  4 La 3.60-3.63, 2 Nd 3.62, 6 Tb 3.62-3.64
Tb (0.4962, 0.2508, 0.5000)  7 Tb 3.61-3.64, 4 La 3.62, 1 Nd 3.63
Tb (0.5000, 0.5000, 0.5000)  6 Tb 3.61-3.64, 2 Nd 3.62, 4 La 3.62
Tb (0.5038, 0.7492, 0.5000)  7 Tb 3.61-3.64, 4 La 3.62, 1 Nd 3.63
Tb (0.7469, 0.1249, 0.0000)  4 La 3.60-3.63, 2 Nd 3.62, 6 Tb 3.62-3.64
Tb (0.7531, 0.6249, 0.0000)  4 La 3.60-3.63, 2 Nd 3.62, 6 Tb 3.62-3.64
Tb (0.9962, 0.2492, 0.5000)  7 Tb 3.61-3.64, 4 La 3.62, 1 Nd 3.63
Nd (0.0000, 0.5000, 0.5000)  8 Tb 3.62-3.63, 4 La 3.65
Nd (0.5000, 0.0000, 0.5000)  8 Tb 3.62-3.63, 4 La 3.65

E, eV/atom: -4.698
Formation enthalpy at 0 K, eV/atom: 0.02
SG: Pbam, No. 55
Calculated volume, Å³ per cell: 539

***

A plane-wave DFT calculation with GGA-PBE was carried out for a relaxed structure of La12Tb5Nd2.

Cell lengths 8.9297, 8.9297, 9.5791 Å; angles 109.63, 109.63, 83.42 degrees
With the nearest neighbours (Å) after each atom.
Atoms (fractional coordinates):
La (0.0323, 0.5466, 0.6902)  3 La 3.31-3.46, 2 Tb 3.40-3.66, 1 Nd 3.48
La (0.0665, 0.0665, 0.2728)  4 La 3.40-3.55, 2 Tb 3.46-3.67, 2 Nd 3.72
La (0.1320, 0.6578, 0.0924)  4 La 3.46-3.76, 1 Nd 3.51, 4 Tb 3.56-3.74
La (0.3422, 0.8680, 0.9076)  4 La 3.46-3.76, 1 Nd 3.51, 4 Tb 3.56-3.74
La (0.3961, 0.3961, 0.5726)  6 La 3.62-4.02, 4 Tb 3.64-3.87, 2 Nd 3.84
La (0.4534, 0.9677, 0.3098)  3 La 3.31-3.46, 2 Tb 3.40-3.66, 1 Nd 3.48
La (0.5466, 0.0323, 0.6902)  3 La 3.31-3.46, 2 Tb 3.40-3.66, 1 Nd 3.48
La (0.6039, 0.6039, 0.4274)  6 La 3.62-4.02, 4 Tb 3.64-3.87, 2 Nd 3.84
La (0.6578, 0.1320, 0.0924)  4 La 3.46-3.76, 1 Nd 3.51, 4 Tb 3.56-3.74
La (0.8680, 0.3422, 0.9076)  4 La 3.46-3.76, 1 Nd 3.51, 4 Tb 3.56-3.74
La (0.9335, 0.9335, 0.7272)  4 La 3.40-3.55, 2 Tb 3.46-3.67, 2 Nd 3.72
La (0.9677, 0.4534, 0.3098)  3 La 3.31-3.46, 2 Tb 3.40-3.66, 1 Nd 3.48
Tb (0.1944, 0.1944, 0.7324)  6 La 3.40-3.74, 2 Tb 3.55-3.71, 2 Nd 3.61
Tb (0.2866, 0.2866, 0.1422)  2 Tb 3.55-3.67, 9 La 3.56-3.87
Tb (0.5000, 0.5000, 0.0000)  4 Tb 3.67-3.71, 6 La 3.68-3.69
Tb (0.7134, 0.7134, 0.8578)  2 Tb 3.55-3.67, 9 La 3.56-3.87
Tb (0.8056, 0.8056, 0.2676)  6 La 3.40-3.74, 2 Tb 3.55-3.71, 2 Nd 3.61
Nd (0.2153, 0.7847, 0.5000)  8 La 3.48-3.84, 2 Tb 3.61
Nd (0.7847, 0.2153, 0.5000)  8 La 3.48-3.84, 2 Tb 3.61

E, eV/atom: -4.734
Formation enthalpy at 0 K, eV/atom: 0.10
SG: C2/m, No. 12
Calculated volume, Å³ per cell: 678

***

A plane-wave DFT calculation with GGA-PBE was carried out for a relaxed structure of LaTb5Nd3.

Cell lengths 9.6310, 9.6310, 9.9541 Å; angles 121.04, 121.04, 73.16 degrees
With the nearest neighbours (Å) after each atom.
Atoms (fractional coordinates):
La (0.2454, 0.2454, 0.4128)  4 Nd 3.15-3.45, 2 Tb 3.34-3.45
La (0.7546, 0.7546, 0.5872)  4 Nd 3.15-3.45, 2 Tb 3.34-3.45
Tb (0.1018, 0.6044, 0.2505)  3 Tb 3.35-3.71, 2 Nd 3.52-3.53
Tb (0.2253, 0.2253, 0.0465)  3 Nd 3.21-3.42, 3 Tb 3.26-3.35, 1 La 3.45
Tb (0.2564, 0.7436, 0.0000)  1 Nd 2.94
Tb (0.2793, 0.2793, 0.7793)  3 Nd 3.20-3.46, 3 Tb 3.26-3.41, 1 La 3.34
Tb (0.3956, 0.8982, 0.7495)  3 Tb 3.35-3.71, 2 Nd 3.52-3.53
Tb (0.6044, 0.1018, 0.2505)  3 Tb 3.35-3.71, 2 Nd 3.52-3.53
Tb (0.7207, 0.7207, 0.2207)  3 Nd 3.20-3.46, 3 Tb 3.26-3.41, 1 La 3.34
Tb (0.7436, 0.2564, 0.0000)  1 Nd 2.94
Tb (0.7747, 0.7747, 0.9535)  3 Nd 3.21-3.42, 3 Tb 3.26-3.35, 1 La 3.45
Tb (0.8982, 0.3956, 0.7495)  3 Tb 3.35-3.71, 2 Nd 3.52-3.53
Nd (0.0000, 0.0000, 0.0000)  4 Tb 2.94-3.21
Nd (0.0210, 0.0210, 0.3591)  1 La 3.15, 2 Nd 3.26-3.38, 4 Tb 3.33-3.53
Nd (0.4937, 0.4937, 0.1876)  1 Nd 3.05, 4 Tb 3.20-3.40, 1 La 3.39
Nd (0.5000, 0.5000, 0.5000)  2 Nd 3.05
Nd (0.5063, 0.5063, 0.8124)  1 Nd 3.05, 4 Tb 3.20-3.40, 1 La 3.39
Nd (0.9790, 0.9790, 0.6409)  1 La 3.15, 2 Nd 3.26-3.38, 4 Tb 3.33-3.53

E, eV/atom: -4.230
Formation enthalpy at 0 K, eV/atom: 0.48
SG: C2/m, No. 12
Calculated volume, Å³ per cell: 677

***

A plane-wave DFT calculation with GGA-PBE was carried out for a relaxed structure of La8TbNd6.

Cell lengths 8.7614, 8.7614, 8.7614 Å; angles 66.51, 66.51, 66.51 degrees
With the nearest neighbours (Å) after each atom.
Atoms (fractional coordinates):
La (0.0746, 0.0746, 0.0746)  1 La 3.03, 3 Nd 3.23
La (0.1618, 0.2679, 0.5845)  3 Nd 3.54-3.84, 6 La 3.54-3.88, 1 Tb 3.91
La (0.2679, 0.5845, 0.1618)  3 Nd 3.54-3.84, 6 La 3.54-3.88, 1 Tb 3.91
La (0.4155, 0.8382, 0.7321)  3 Nd 3.54-3.84, 6 La 3.54-3.88, 1 Tb 3.91
La (0.5845, 0.1618, 0.2679)  3 Nd 3.54-3.84, 6 La 3.54-3.88, 1 Tb 3.91
La (0.7321, 0.4155, 0.8382)  3 Nd 3.54-3.84, 6 La 3.54-3.88, 1 Tb 3.91
La (0.8382, 0.7321, 0.4155)  3 Nd 3.54-3.84, 6 La 3.54-3.88, 1 Tb 3.91
La (0.9254, 0.9254, 0.9254)  1 La 3.03, 3 Nd 3.23
Tb (0.5000, 0.5000, 0.5000)  6 Nd 3.56, 6 La 3.91
Nd (0.0632, 0.6056, 0.7629)  3 La 3.23-3.62, 1 Tb 3.56
Nd (0.2371, 0.9368, 0.3944)  3 La 3.23-3.62, 1 Tb 3.56
Nd (0.3944, 0.2371, 0.9368)  3 La 3.23-3.62, 1 Tb 3.56
Nd (0.6056, 0.7629, 0.0632)  3 La 3.23-3.62, 1 Tb 3.56
Nd (0.7629, 0.0632, 0.6056)  3 La 3.23-3.62, 1 Tb 3.56
Nd (0.9368, 0.3944, 0.2371)  3 La 3.23-3.62, 1 Tb 3.56

E, eV/atom: -4.716
Formation enthalpy at 0 K, eV/atom: 0.13
SG: R-3, No. 148
Calculated volume, Å³ per cell: 542

***

Repeat the first record exactly.
A plane-wave DFT calculation with GGA-PBE was carried out for a relaxed structure of La2Tb5Nd.

Cell lengths 7.2306, 14.4698, 5.1486 Å; angles 90.00, 90.00, 90.00 degrees
With the nearest neighbours (Å) after each atom.
Atoms (fractional coordinates):
La (0.2468, 0.1260, 0.0000)  10 Tb 3.60-3.63, 2 Nd 3.65
La (0.2532, 0.6260, 0.0000)  10 Tb 3.60-3.63, 2 Nd 3.65
La (0.7468, 0.3740, 0.0000)  10 Tb 3.60-3.63, 2 Nd 3.65
La (0.7532, 0.8740, 0.0000)  10 Tb 3.60-3.63, 2 Nd 3.65
Tb (0.0000, 0.0000, 0.5000)  6 Tb 3.61-3.64, 2 Nd 3.62, 4 La 3.62
Tb (0.0038, 0.7508, 0.5000)  7 Tb 3.61-3.64, 4 La 3.62, 1 Nd 3.63
Tb (0.2469, 0.3751, 0.0000)  4 La 3.60-3.63, 2 Nd 3.62, 6 Tb 3.62-3.64
Tb (0.2531, 0.8751, 0.0000)  4 La 3.60-3.63, 2 Nd 3.62, 6 Tb 3.62-3.64
Tb (0.4962, 0.2508, 0.5000)  7 Tb 3.61-3.64, 4 La 3.62, 1 Nd 3.63
Tb (0.5000, 0.5000, 0.5000)  6 Tb 3.61-3.64, 2 Nd 3.62, 4 La 3.62
Tb (0.5038, 0.7492, 0.5000)  7 Tb 3.61-3.64, 4 La 3.62, 1 Nd 3.63
Tb (0.7469, 0.1249, 0.0000)  4 La 3.60-3.63, 2 Nd 3.62, 6 Tb 3.62-3.64
Tb (0.7531, 0.6249, 0.0000)  4 La 3.60-3.63, 2 Nd 3.62, 6 Tb 3.62-3.64
Tb (0.9962, 0.2492, 0.5000)  7 Tb 3.61-3.64, 4 La 3.62, 1 Nd 3.63
Nd (0.0000, 0.5000, 0.5000)  8 Tb 3.62-3.63, 4 La 3.65
Nd (0.5000, 0.0000, 0.5000)  8 Tb 3.62-3.63, 4 La 3.65

E, eV/atom: -4.698
Formation enthalpy at 0 K, eV/atom: 0.02
SG: Pbam, No. 55
Calculated volume, Å³ per cell: 539

***

Question: Among the records above, which one has the highest formation enthalpy at 0 K?
Answer: LaTb5Nd3

***

Copy entry 3 word for word.
A plane-wave DFT calculation with GGA-PBE was carried out for a relaxed structure of LaTb5Nd3.

Cell lengths 9.6310, 9.6310, 9.9541 Å; angles 121.04, 121.04, 73.16 degrees
With the nearest neighbours (Å) after each atom.
Atoms (fractional coordinates):
La (0.2454, 0.2454, 0.4128)  4 Nd 3.15-3.45, 2 Tb 3.34-3.45
La (0.7546, 0.7546, 0.5872)  4 Nd 3.15-3.45, 2 Tb 3.34-3.45
Tb (0.1018, 0.6044, 0.2505)  3 Tb 3.35-3.71, 2 Nd 3.52-3.53
Tb (0.2253, 0.2253, 0.0465)  3 Nd 3.21-3.42, 3 Tb 3.26-3.35, 1 La 3.45
Tb (0.2564, 0.7436, 0.0000)  1 Nd 2.94
Tb (0.2793, 0.2793, 0.7793)  3 Nd 3.20-3.46, 3 Tb 3.26-3.41, 1 La 3.34
Tb (0.3956, 0.8982, 0.7495)  3 Tb 3.35-3.71, 2 Nd 3.52-3.53
Tb (0.6044, 0.1018, 0.2505)  3 Tb 3.35-3.71, 2 Nd 3.52-3.53
Tb (0.7207, 0.7207, 0.2207)  3 Nd 3.20-3.46, 3 Tb 3.26-3.41, 1 La 3.34
Tb (0.7436, 0.2564, 0.0000)  1 Nd 2.94
Tb (0.7747, 0.7747, 0.9535)  3 Nd 3.21-3.42, 3 Tb 3.26-3.35, 1 La 3.45
Tb (0.8982, 0.3956, 0.7495)  3 Tb 3.35-3.71, 2 Nd 3.52-3.53
Nd (0.0000, 0.0000, 0.0000)  4 Tb 2.94-3.21
Nd (0.0210, 0.0210, 0.3591)  1 La 3.15, 2 Nd 3.26-3.38, 4 Tb 3.33-3.53
Nd (0.4937, 0.4937, 0.1876)  1 Nd 3.05, 4 Tb 3.20-3.40, 1 La 3.39
Nd (0.5000, 0.5000, 0.5000)  2 Nd 3.05
Nd (0.5063, 0.5063, 0.8124)  1 Nd 3.05, 4 Tb 3.20-3.40, 1 La 3.39
Nd (0.9790, 0.9790, 0.6409)  1 La 3.15, 2 Nd 3.26-3.38, 4 Tb 3.33-3.53

E, eV/atom: -4.230
Formation enthalpy at 0 K, eV/atom: 0.48
SG: C2/m, No. 12
Calculated volume, Å³ per cell: 677

***

Repeat the third record exactly.
A plane-wave DFT calculation with GGA-PBE was carried out for a relaxed structure of LaTb5Nd3.

Cell lengths 9.6310, 9.6310, 9.9541 Å; angles 121.04, 121.04, 73.16 degrees
With the nearest neighbours (Å) after each atom.
Atoms (fractional coordinates):
La (0.2454, 0.2454, 0.4128)  4 Nd 3.15-3.45, 2 Tb 3.34-3.45
La (0.7546, 0.7546, 0.5872)  4 Nd 3.15-3.45, 2 Tb 3.34-3.45
Tb (0.1018, 0.6044, 0.2505)  3 Tb 3.35-3.71, 2 Nd 3.52-3.53
Tb (0.2253, 0.2253, 0.0465)  3 Nd 3.21-3.42, 3 Tb 3.26-3.35, 1 La 3.45
Tb (0.2564, 0.7436, 0.0000)  1 Nd 2.94
Tb (0.2793, 0.2793, 0.7793)  3 Nd 3.20-3.46, 3 Tb 3.26-3.41, 1 La 3.34
Tb (0.3956, 0.8982, 0.7495)  3 Tb 3.35-3.71, 2 Nd 3.52-3.53
Tb (0.6044, 0.1018, 0.2505)  3 Tb 3.35-3.71, 2 Nd 3.52-3.53
Tb (0.7207, 0.7207, 0.2207)  3 Nd 3.20-3.46, 3 Tb 3.26-3.41, 1 La 3.34
Tb (0.7436, 0.2564, 0.0000)  1 Nd 2.94
Tb (0.7747, 0.7747, 0.9535)  3 Nd 3.21-3.42, 3 Tb 3.26-3.35, 1 La 3.45
Tb (0.8982, 0.3956, 0.7495)  3 Tb 3.35-3.71, 2 Nd 3.52-3.53
Nd (0.0000, 0.0000, 0.0000)  4 Tb 2.94-3.21
Nd (0.0210, 0.0210, 0.3591)  1 La 3.15, 2 Nd 3.26-3.38, 4 Tb 3.33-3.53
Nd (0.4937, 0.4937, 0.1876)  1 Nd 3.05, 4 Tb 3.20-3.40, 1 La 3.39
Nd (0.5000, 0.5000, 0.5000)  2 Nd 3.05
Nd (0.5063, 0.5063, 0.8124)  1 Nd 3.05, 4 Tb 3.20-3.40, 1 La 3.39
Nd (0.9790, 0.9790, 0.6409)  1 La 3.15, 2 Nd 3.26-3.38, 4 Tb 3.33-3.53

E, eV/atom: -4.230
Formation enthalpy at 0 K, eV/atom: 0.48
SG: C2/m, No. 12
Calculated volume, Å³ per cell: 677